## Ac8Ru2Rh (GGA-PBE)

Data for a relaxed Ac8Ru2Rh crystal.

The density of states at the Fermi level is 10.7 states/eV/f.u. The value obtained for the formation energy is -246 meV per atom.

Lattice parameters (Å, degrees): 7.9936 7.9936 7.1005 90.46 90.46 65.38
Closest atoms and distances in Å follow each position.
Element x y z (fractional)
Ac: 0.1214 0.1214 0.1622  1 Rh 2.91, 1 Ru 2.92
Ac: 0.1323 0.6087 0.3310  2 Ru 2.88-3.06, 1 Rh 3.09
Ac: 0.3714 0.3714 0.8254  1 Ru 2.86
Ac: 0.3913 0.8677 0.6690  2 Ru 2.88-3.06, 1 Rh 3.09
Ac: 0.6087 0.1323 0.3310  2 Ru 2.88-3.06, 1 Rh 3.09
Ac: 0.6286 0.6286 0.1746  1 Ru 2.86
Ac: 0.8677 0.3913 0.6690  2 Ru 2.88-3.06, 1 Rh 3.09
Ac: 0.8786 0.8786 0.8378  1 Rh 2.91, 1 Ru 2.92
Ru: 0.2342 0.2342 0.5154  6 Ac 2.86-3.06, 1 Rh 3.15
Ru: 0.7658 0.7658 0.4846  6 Ac 2.86-3.06, 1 Rh 3.15
Rh: 0.0000 0.0000 0.5000  6 Ac 2.91-3.09, 2 Ru 3.15



## Ta2PbCl (GGA-PBE)

Data for a relaxed Ta2PbCl crystal.

The density of states at the Fermi level is 3.4 states/eV/f.u. The uncorrected formation energy comes out at 51 kJ/mol of atoms.

Lattice parameters (Å, degrees): 6.1172 6.1172 6.1172 150.45 128.72 60.30
Closest atoms and distances in Å follow each position.
Element x y z (fractional)
Ta: 0.0000 0.0000 0.0000  2 Ta 2.64, 2 Cl 2.76
Ta: 0.7982 0.2982 0.5000  2 Ta 2.64
Pb: 0.5204 0.5204 0.0000  6 Ta 3.08-3.33, 2 Pb 3.12, 2 Cl 3.36
Cl: 0.2153 0.7153 0.5000  2 Ta 2.76



## NaTlHg2Rh (GGA-PBE)

Data for a relaxed NaTlHg2Rh crystal.

The density of states at the Fermi level is 2.2 states/eV/f.u. The value obtained for the formation energy is -34 meV per atom.

Lattice parameters (Å, degrees): 5.3219 5.3219 5.2111 90.00 90.00 90.00
Closest atoms and distances in Å follow each position.
Element x y z (fractional)
Na: 0.0000 0.0000 0.0000  8 Hg 3.72, 4 Tl 3.76
Tl: 0.5000 0.5000 0.0000  2 Rh 2.61
Hg: 0.0000 0.5000 0.5000  2 Rh 2.66
Hg: 0.5000 0.0000 0.5000  2 Rh 2.66
Rh: 0.5000 0.5000 0.5000  2 Tl 2.61, 4 Hg 2.66



## Sc2AgCl (GGA-PBE)

Data for a relaxed Sc2AgCl crystal.

The density of states at the Fermi level is 3.9 states/eV/f.u. The uncorrected formation energy comes out at -50 kJ/mol of atoms.

Lattice parameters (Å, degrees): 7.7131 7.7131 7.7131 155.16 154.73 35.73
Closest atoms and distances in Å follow each position.
Element x y z (fractional)
Sc: 0.0000 0.0000 0.0000  4 Cl 2.69, 2 Ag 2.86
Sc: 0.7337 0.2337 0.5000  2 Cl 2.71, 4 Ag 2.86
Ag: 0.3426 0.8426 0.5000  6 Sc 2.86
Cl: 0.5878 0.5878 0.0000  6 Sc 2.69-2.71



## Np2PaO8 (GGA-PBE)

Data for a relaxed Np2PaO8 crystal.

The density of states at the Fermi level is 9.2 states/eV/f.u. The uncorrected formation energy comes out at -273 kJ/mol of atoms.

Lattice parameters (Å, degrees): 3.5459 7.1062 7.1391 60.61 79.14 88.72
Closest atoms and distances in Å follow each position.
Element x y z (fractional)
Np: 0.0000 0.0000 0.0000  3 O 1.93-2.11
Np: 0.2124 0.7878 0.5673  5 O 2.01-2.22
Pa: 0.4043 0.4364 0.1581  4 O 2.09-2.25
O: 0.0347 0.7738 0.8891  2 Np 2.11-2.22
O: 0.2755 0.1068 0.4607  1 Np 2.01
O: 0.3841 0.8095 0.1758  1 Np 2.04
O: 0.5889 0.5993 0.7493  1 Np 2.03
O: 0.6247 0.1577 0.8274  1 Np 1.93
O: 0.8087 0.8943 0.3733  2 Np 2.05-2.21
O: 0.8322 0.4674 0.3094  2 Pa 2.09-2.17
O: 0.9821 0.2960 0.0612  2 Pa 2.20-2.39, 1 Np 2.35



## KU2TaO8 (GGA-PBE)

Data for a relaxed KU2TaO8 crystal.

The density of states at the Fermi level is 5.9 states/eV/f.u. The uncorrected formation energy comes out at -276 kJ/mol of atoms.

Lattice parameters (Å, degrees): 5.0361 7.0532 5.0396 90.00 91.90 90.00
Closest atoms and distances in Å follow each position.
Element x y z (fractional)
K: 0.0000 0.0000 0.0000  6 O 2.42-2.55
U: 0.5000 0.2513 0.5000  6 O 2.12-2.33
U: 0.5000 0.7487 0.5000  6 O 2.12-2.33
Ta: 0.0000 0.5000 0.0000  6 O 1.99-2.09
O: 0.2019 0.3007 0.2015  1 Ta 1.99, 1 U 2.12
O: 0.2019 0.6993 0.2015  1 Ta 1.99, 1 U 2.12
O: 0.2886 0.5000 0.7111  1 Ta 2.09, 2 U 2.33
O: 0.3333 0.0000 0.6650  2 U 2.14
O: 0.6667 0.0000 0.3350  2 U 2.14
O: 0.7114 0.5000 0.2889  1 Ta 2.09, 2 U 2.33
O: 0.7981 0.3007 0.7985  1 Ta 1.99, 1 U 2.12
O: 0.7981 0.6993 0.7985  1 Ta 1.99, 1 U 2.12